Entry 1:
Dy7Er4Th | PBE-GGA | optimized geometry

Cell lengths 12.023, 5.891, 12.585 Å; angles 90.00, 118.50, 90.00 degrees
Space group C2/m (No. 12)
Inequivalent atoms, fractional coordinates:
Dy  0.000  0.000  0.000 (multiplicity 2)
Dy  0.131  0.500  0.498 (multiplicity 4)
Dy  0.209  0.000  0.922 (multiplicity 4)
Dy  0.234  0.000  0.675 (multiplicity 4)
Er  0.067  0.000  0.317 (multiplicity 4)
Er  0.140  0.500  0.775 (multiplicity 4)
Th  0.000  0.500  0.000 (multiplicity 2)

Energy relative to the lowest polymorph listed for this composition, eV per atom: 0.3122
DOS(E_F), states/eV/cell: 36.70
ΔH_f (0 K), eV/atom: 0.314
ρ, g cm⁻³: 8.64

***

Entry 2:
Li3BAu | PBE-GGA | optimized geometry

Cell lengths 4.731, 4.731, 4.731 Å; angles 90.00, 90.00, 90.00 degrees
Space group Pm-3m (No. 221)
Inequivalent atoms, fractional coordinates:
Li  0.000  0.000  0.500 (multiplicity 3)
B  0.500  0.500  0.500 (multiplicity 1)
Au  0.000  0.000  0.000 (multiplicity 1)

Energy relative to the lowest polymorph listed for this composition, eV per atom: 0.3612
DOS(E_F), states/eV/cell: 2.28
ΔH_f (0 K), eV/atom: 0.749
ρ, g cm⁻³: 3.59

***

Entry 3:
Sn2PPb | PBE-GGA | optimized geometry

Cell lengths 7.396, 7.396, 7.396 Å; angles 90.00, 90.00, 90.00 degrees
Space group Fm-3m (No. 225)
Inequivalent atoms, fractional coordinates:
Sn  0.250  0.250  0.250 (multiplicity 8)
P  0.000  0.000  0.000 (multiplicity 4)
Pb  0.000  0.000  0.500 (multiplicity 4)

Energy relative to the lowest polymorph listed for this composition, eV per atom: 0.2736
DOS(E_F), states/eV/cell: 8.29
ΔH_f (0 K), eV/atom: 0.321
ρ, g cm⁻³: 7.81

***

Entry 4:
NdEuTi4O12 | PBE-GGA | optimized geometry

Cell lengths 7.761, 7.712, 7.743 Å; angles 90.00, 90.00, 90.00 degrees
Space group Amm2 (No. 38)
Inequivalent atoms, fractional coordinates:
Nd  0.000  0.000  0.000 (multiplicity 2)
Eu  0.500  0.000  0.548 (multiplicity 2)
Ti  0.251  0.240  0.275 (multiplicity 8)
O  0.000  0.223  0.789 (multiplicity 4)
O  0.210  0.000  0.232 (multiplicity 4)
O  0.259  0.218  0.525 (multiplicity 8)
O  0.268  0.000  0.797 (multiplicity 4)
O  0.500  0.221  0.279 (multiplicity 4)

DOS(E_F), states/eV/cell: 29.97
ρ, g cm⁻³: 4.87
Formation energy without anion corrections, eV/atom: -2.739

***

Entry 5:
NaBe2Au2 | PBE-GGA | optimized geometry

Cell lengths 7.283, 7.283, 2.747 Å; angles 90.00, 90.00, 90.00 degrees
Space group P4/mbm (No. 127)
Inequivalent atoms, fractional coordinates:
Na  0.000  0.000  0.000 (multiplicity 2)
Be  0.113  0.387  0.000 (multiplicity 4)
Au  0.178  0.678  0.500 (multiplicity 4)

Energy relative to the lowest polymorph listed for this composition, eV per atom: 0.0000
DOS(E_F), states/eV/cell: 2.09
ΔH_f (0 K), eV/atom: -0.150
ρ, g cm⁻³: 9.91

***

Entry 6:
ZnCdBr2 | PBE-GGA | optimized geometry

Cell lengths 8.216, 8.079, 4.279 Å; angles 90.00, 119.74, 90.00 degrees
Space group C2/m (No. 12)
Inequivalent atoms, fractional coordinates:
Zn  0.000  0.000  0.000 (multiplicity 2)
Cd  0.000  0.500  0.000 (multiplicity 2)
Br  0.250  0.250  0.000 (multiplicity 4)

Energy relative to the lowest polymorph listed for this composition, eV per atom: 0.3043
DOS(E_F), states/eV/cell: 4.16
ρ, g cm⁻³: 4.55
Formation energy without anion corrections, eV/atom: -0.186

***

Entry 7:
TaBe2In | PBE-GGA | optimized geometry

Cell lengths 4.049, 4.049, 7.092 Å; angles 90.00, 90.00, 90.00 degrees
Space group I4/mmm (No. 139)
Inequivalent atoms, fractional coordinates:
Ta  0.000  0.000  0.000 (multiplicity 2)
Be  0.000  0.500  0.250 (multiplicity 4)
In  0.000  0.000  0.500 (multiplicity 2)

DOS(E_F), states/eV/cell: 4.15
ΔH_f (0 K), eV/atom: 0.484
ρ, g cm⁻³: 8.96

***

Entry 8:
CeI2Br | PBE-GGA | optimized geometry

Cell lengths 4.588, 5.817, 8.600 Å; angles 88.96, 74.59, 90.00 degrees
Space group P1 (No. 1)
Inequivalent atoms, fractional coordinates:
Ce  0.000  0.000  0.000 (multiplicity 1)
I  0.369  0.993  0.262 (multiplicity 1)
I  0.630  0.007  0.738 (multiplicity 1)
Br  0.998  0.500  0.000 (multiplicity 1)

Energy relative to the lowest polymorph listed for this composition, eV per atom: 0.0004
DOS(E_F), states/eV/cell: 7.87
ρ, g cm⁻³: 3.56
Formation energy without anion corrections, eV/atom: -1.475

***

Entry 9:
AlCu2Tc | PBE-GGA | optimized geometry

Cell lengths 3.779, 3.779, 7.425 Å; angles 90.00, 90.00, 90.00 degrees
Space group I-4m2 (No. 119)
Inequivalent atoms, fractional coordinates:
Al  0.000  0.000  0.000 (multiplicity 2)
Cu  0.000  0.000  0.500 (multiplicity 2)
Cu  0.000  0.500  0.750 (multiplicity 2)
Tc  0.000  0.500  0.250 (multiplicity 2)

DOS(E_F), states/eV/cell: 3.85
ΔH_f (0 K), eV/atom: 0.011
ρ, g cm⁻³: 7.89

***

Entry 10:
CaSc3Ta | PBE-GGA | optimized geometry

Cell lengths 5.254, 5.254, 5.254 Å; angles 90.00, 90.00, 90.00 degrees
Space group Pm-3m (No. 221)
Inequivalent atoms, fractional coordinates:
Ca  0.000  0.000  0.000 (multiplicity 1)
Sc  0.000  0.500  0.500 (multiplicity 3)
Ta  0.500  0.500  0.500 (multiplicity 1)

Energy relative to the lowest polymorph listed for this composition, eV per atom: 0.0000
DOS(E_F), states/eV/cell: 7.84
ΔH_f (0 K), eV/atom: 0.495
ρ, g cm⁻³: 4.08

***

Entry 11:
PmNd6Y3 | PBE-GGA | optimized geometry

Cell lengths 11.628, 3.587, 17.459 Å; angles 90.00, 109.37, 90.00 degrees
Space group P2_1/m (No. 11)
Inequivalent atoms, fractional coordinates:
Pm  0.156  0.250  0.313 (multiplicity 2)
Nd  0.040  0.750  0.103 (multiplicity 2)
Nd  0.145  0.750  0.797 (multiplicity 2)
Nd  0.252  0.750  0.502 (multiplicity 2)
Nd  0.345  0.250  0.189 (multiplicity 2)
Nd  0.437  0.250  0.897 (multiplicity 2)
Nd  0.462  0.750  0.395 (multiplicity 2)
Y  0.062  0.250  0.601 (multiplicity 2)
Y  0.248  0.750  0.998 (multiplicity 2)
Y  0.347  0.750  0.701 (multiplicity 2)

Energy relative to the lowest polymorph listed for this composition, eV per atom: 0.0000
DOS(E_F), states/eV/cell: 32.58
ΔH_f (0 K), eV/atom: 0.043
ρ, g cm⁻³: 6.17

***

Entry 12:
LiCuSnOs2 | PBE-GGA | optimized geometry

Cell lengths 4.953, 4.953, 4.794 Å; angles 90.00, 90.00, 90.00 degrees
Space group P4/mmm (No. 123)
Inequivalent atoms, fractional coordinates:
Li  0.000  0.000  0.000 (multiplicity 1)
Cu  0.500  0.500  0.000 (multiplicity 1)
Sn  0.500  0.500  0.500 (multiplicity 1)
Os  0.000  0.500  0.500 (multiplicity 2)

DOS(E_F), states/eV/cell: 5.14
ΔH_f (0 K), eV/atom: 1.846
ρ, g cm⁻³: 8.04